1.
DFT (PBE-GGA) results for an optimized crystal structure of LaTl2IO8.

Properties
- uncorrected formation energy (eV/atom) = -1.05
- spin magnetization (μB/cell) = 0.00
- symmetry = P-1 (2)

```
LaTl2IO8
1.0
5.1319 -0.0151 0.1909
0.0215 5.1353 0.2023
0.3051 0.2983 7.0433
O Tl La I
8 2 1 1
direct
0.7298 0.7328 0.9986 O
0.3185 0.3155 0.4738 O
0.1588 0.8046 0.2004 O
0.8066 0.1608 0.1999 O
0.1934 0.8392 0.8001 O
0.6815 0.6845 0.5262 O
0.2702 0.2672 0.0014 O
0.8412 0.1954 0.7996 O
0.5376 0.5379 0.2503 Tl
0.4624 0.4621 0.7497 Tl
0.0000 0.0000 0.5000 La
0.0000 0.0000 0.0000 I
```

2.
DFT (PBE-GGA) results for an optimized crystal structure of CaScTl.

Properties
- spin magnetization (μB/cell) = 0.00
- excess energy over the best structure of this formula in the dataset (meV per atom) = 21.5
- symmetry = P6_3/mmc (194)

```
CaScTl
1.0
-4.3458 -1.0689 -2.6245
2.6956 -3.8336 2.2258
-3.6803 0.7687 5.7811
Ca Tl Sc
2 2 2
direct
0.0000 0.0000 0.0000 Ca
0.0000 0.0000 0.5000 Ca
0.6667 0.3333 0.7500 Tl
0.3333 0.6667 0.2500 Tl
0.3333 0.6667 0.7500 Sc
0.6667 0.3333 0.2500 Sc
```

3.
DFT (PBE-GGA) results for an optimized crystal structure of PmPrAu2.

Properties
- spin magnetization (μB/cell) = 0.00
- excess energy over the best structure of this formula in the dataset (meV per atom) = 43.4
- symmetry = Fm-3m (225)

```
PmPrAu2
1.0
-1.2291 -1.1143 4.9919
-3.3240 -3.9327 1.0753
1.7861 -4.4194 2.2249
Pm Pr Au
1 1 2
direct
0.5000 0.5000 0.5000 Pm
0.0000 0.0000 0.0000 Pr
0.7500 0.7500 0.7500 Au
0.2500 0.2500 0.2500 Au
```

4.
DFT (PBE-GGA) results for an optimized crystal structure of Tm3ZnSn3.

Properties
- spin magnetization (μB/cell) = 0.00
- excess energy over the best structure of this formula in the dataset (meV per atom) = 280.0
- symmetry = P6_3/m (176)

```
Tm3ZnSn3
1.0
-3.5347 -0.4759 4.9541
-7.1449 -1.4428 -5.2365
4.9400 -6.9262 2.8593
Sn Zn Tm
6 2 6
direct
0.2500 0.9571 0.3077 Sn
0.7500 0.0429 0.6923 Sn
0.7500 0.3077 0.3506 Sn
0.7500 0.6494 0.9571 Sn
0.2500 0.6923 0.6494 Sn
0.2500 0.3506 0.0429 Sn
0.2500 0.6667 0.3333 Zn
0.7500 0.3333 0.6667 Zn
0.2500 0.3167 0.3614 Tm
0.7500 0.9552 0.3167 Tm
0.7500 0.3614 0.0448 Tm
0.7500 0.6833 0.6386 Tm
0.2500 0.6386 0.9552 Tm
0.2500 0.0448 0.6833 Tm
```

5.
DFT (PBE-GGA) results for an optimized crystal structure of Pr4Tm3Th.

Properties
- spin magnetization (μB/cell) = 0.00
- energy (eV/atom) = -4.819
- symmetry = C2/m (12)

```
Pr4Tm3Th
1.0
3.4364 0.0000 -0.4336
-0.1776 6.6980 -1.4078
-0.2328 -0.9029 11.9898
Tm Pr Th
3 4 1
direct
0.8790 0.1176 0.7580 Tm
0.1210 0.8824 0.2420 Tm
0.0000 0.5000 0.0000 Tm
0.8791 0.6357 0.7582 Pr
0.1209 0.3643 0.2418 Pr
0.2589 0.7686 0.5178 Pr
0.7411 0.2314 0.4822 Pr
0.5000 0.0000 0.0000 Th
```

6.
DFT (PBE-GGA) results for an optimized crystal structure of SrMn2BeBi.

Properties
- spin magnetization (μB/cell) = 8.83
- energy (eV/atom) = -3.481
- symmetry = P4/mmm (123)

```
SrMn2BeBi
1.0
5.4243 0.0000 0.0000
0.0000 6.1048 0.0000
0.0000 0.0000 5.4243
Mn Be Bi Sr
2 1 1 1
direct
0.5000 0.0000 0.0000 Mn
0.0000 0.0000 0.5000 Mn
0.5000 0.5000 0.5000 Be
0.0000 0.5000 0.0000 Bi
0.0000 0.0000 0.0000 Sr
```

7.
DFT (PBE-GGA) results for an optimized crystal structure of TmNpSe2.

Properties
- uncorrected formation energy (eV/atom) = -1.32
- spin magnetization (μB/cell) = 4.68
- excess energy over the best structure of this formula in the dataset (meV per atom) = 58.9
- symmetry = R3m (160)

```
TmNpSe2
1.0
3.9037 0.0000 0.0000
1.9519 3.3807 0.0000
1.9519 1.1269 7.2700
Tm Se Np
1 2 1
direct
0.6698 0.6698 0.9907 Tm
0.0787 0.0787 0.7639 Se
0.2550 0.2550 0.2349 Se
0.4965 0.4965 0.5105 Np
```

8.
DFT (PBE-GGA) results for an optimized crystal structure of Na3TlF.

Properties
- uncorrected formation energy (eV/atom) = -1.05
- spin magnetization (μB/cell) = 0.00
- excess energy over the best structure of this formula in the dataset (meV per atom) = 0.0
- symmetry = Pm-3m (221)

```
Na3TlF
1.0
-1.1342 -3.7659 -2.8207
-1.9756 -2.2522 3.8013
-4.2703 2.0421 -1.0094
Tl Na F
1 3 1
direct
0.5000 0.5000 0.5000 Tl
0.0000 0.0000 0.5000 Na
0.0000 0.5000 0.0000 Na
0.5000 0.0000 0.0000 Na
0.0000 0.0000 0.0000 F
```

Which value of spin magnetization does entry 3 give?
0.00 μB/cell

Copy entry 5 word for word.
DFT (PBE-GGA) results for an optimized crystal structure of Pr4Tm3Th.

Properties
- spin magnetization (μB/cell) = 0.00
- energy (eV/atom) = -4.819
- symmetry = C2/m (12)

```
Pr4Tm3Th
1.0
3.4364 0.0000 -0.4336
-0.1776 6.6980 -1.4078
-0.2328 -0.9029 11.9898
Tm Pr Th
3 4 1
direct
0.8790 0.1176 0.7580 Tm
0.1210 0.8824 0.2420 Tm
0.0000 0.5000 0.0000 Tm
0.8791 0.6357 0.7582 Pr
0.1209 0.3643 0.2418 Pr
0.2589 0.7686 0.5178 Pr
0.7411 0.2314 0.4822 Pr
0.5000 0.0000 0.0000 Th
```